The following is a GGA+U calculation of crystalline Cs4SrMn3F12 at its relaxed geometry, from the Alexandria database.

The uncorrected energy is -5.4137 eV per atom. Its total magnetic moment is 15.00 μB per formula unit.

The space group is Im-3m (No. 229) and the conventional cell measures 8.998, 8.998 and 8.998 Å, with angles of 90.00, 90.00 and 90.00 degrees. The asymmetric unit holds Cs at (0.250, 0.250, 0.250), Sr at (0.000, 0.000, 0.000), Mn at (0.000, 0.000, 0.500), F at (0.000, 0.000, 0.266) and F at (0.000, 0.250, 0.500).